[1]
The following is a PBE calculation of crystalline TaS at its relaxed geometry, from Alexandria via LeMat-Bulk.

## Properties
As for the crystal system: tetragonal. Its energy relative to the elements, uncorrected is -0.4463 eV/atom. Its symmetry is P4/m. The total energy is -8.4363 eV per atom.

a = 10.806 Å, b = 10.806 Å, c = 3.427 Å
α = 90.00°, β = 90.00°, γ = 90.00°
Fractional positions:
Ta1 0.360 0.214 0.500
S1 0.575 0.285 0.500
Ta2 0.872 0.539 0.000
S2 0.285 0.425 0.500
Ta3 0.786 0.360 0.500
Ta4 0.128 0.461 0.000
Ta5 0.461 0.872 0.000
S3 0.425 0.715 0.500
Ta6 0.539 0.128 0.000
Ta7 0.640 0.786 0.500
S4 0.715 0.575 0.500
S5 0.683 0.945 0.000
S6 0.055 0.683 0.000
S7 0.317 0.055 0.000
Ta8 0.214 0.640 0.500
S8 0.945 0.317 0.000

***

[2]
The following is a PBE calculation of crystalline Li2YGaF at its relaxed geometry, from Alexandria via LeMat-Bulk.

## Properties
As for the crystal system: tetragonal. Its energy relative to the elements, uncorrected is -1.2617 eV/atom. Its symmetry is P4/mmm. The total energy is -4.2997 eV per atom.

a = 4.205 Å, b = 4.205 Å, c = 4.836 Å
α = 90.00°, β = 90.00°, γ = 90.00°
Fractional positions:
Ga1 0.500 0.500 0.500
Li1 0.500 0.000 0.000
F1 0.000 0.000 0.000
Li2 0.000 0.500 0.000
Y1 0.000 0.000 0.500

***

[3]
The following is a PBE calculation of crystalline CaYIn2 at its relaxed geometry, from Alexandria via LeMat-Bulk.

## Properties
As for the crystal system: trigonal. The formation energy is -0.3178 eV/atom. Its symmetry is R-3m. The total energy is -3.8034 eV per atom.

a = 10.361 Å, b = 10.361 Å, c = 10.361 Å
α = 20.44°, β = 20.44°, γ = 20.44°
Fractional positions:
Y1 0.250 0.250 0.250
Ca1 0.750 0.750 0.750
In1 0.999 0.999 0.999
In2 0.501 0.501 0.501

***

[4]
The following is a PBE calculation of crystalline CsLaMgP2 at its relaxed geometry, from Alexandria via LeMat-Bulk.

## Properties
As for the crystal system: tetragonal. The formation energy is 1.3957 eV/atom. Its symmetry is P4/mmm. The total energy is -2.2433 eV per atom.

a = 5.630 Å, b = 5.795 Å, c = 5.630 Å
α = 90.00°, β = 90.00°, γ = 90.00°
Fractional positions:
Cs1 0.000 0.000 0.000
P1 0.000 0.000 0.500
La1 0.000 0.500 0.000
Mg1 0.500 0.500 0.500
P2 0.500 0.000 0.000

***

[5]
The following is a PBE calculation of crystalline Sm2HoZn at its relaxed geometry, from Alexandria via LeMat-Bulk.

## Properties
As for the crystal system: tetragonal. The formation energy is -0.1565 eV/atom. The excess energy over the best structure of this formula in the dataset is 0 meV per atom. Its symmetry is I4/mmm. The total energy is -3.9790 eV per atom.

a = 5.095 Å, b = 5.095 Å, c = 9.407 Å
α = 105.71°, β = 105.71°, γ = 90.00°
Fractional positions:
Zn1 0.250 0.750 0.500
Sm1 0.500 0.000 0.000
Ho1 0.851 0.851 0.702
Sm2 0.645 0.645 0.290
Zn2 0.750 0.250 0.500
Ho2 0.149 0.149 0.298
Sm3 0.000 0.500 0.000
Sm4 0.355 0.355 0.710

***

[6]
The following is a PBE calculation of crystalline Cs3Sc2MnTe6 at its relaxed geometry, from Alexandria via LeMat-Bulk.

## Properties
As for the crystal system: monoclinic. Its energy relative to the elements, uncorrected is -0.9559 eV/atom. Its symmetry is C2/m. The total energy is -4.5596 eV per atom.

a = 7.474 Å, b = 7.474 Å, c = 9.179 Å
α = 98.50°, β = 98.50°, γ = 118.49°
Fractional positions:
Sc1 0.337 0.663 0.000
Mn1 0.000 0.000 0.000
Te1 0.946 0.626 0.829
Te2 0.727 0.727 0.187
Te3 0.273 0.273 0.813
Te4 0.054 0.374 0.171
Sc2 0.663 0.337 0.000
Cs1 0.828 0.172 0.500
Te5 0.374 0.054 0.171
Cs2 0.500 0.500 0.500
Cs3 0.172 0.828 0.500
Te6 0.626 0.946 0.829

***

[7]
The following is a PBE calculation of crystalline SrLaGa at its relaxed geometry, from Alexandria via LeMat-Bulk.

## Properties
As for the crystal system: monoclinic. The formation energy is -0.2746 eV/atom. The excess energy over the best structure of this formula in the dataset is 95 meV per atom. Its symmetry is P2_1/m. The total energy is -3.4866 eV per atom.

a = 3.987 Å, b = 5.605 Å, c = 9.106 Å
α = 90.00°, β = 77.37°, γ = 90.00°
Fractional positions:
Ga1 0.647 0.973 0.329
Sr1 0.306 0.973 0.009
Ga2 0.823 0.473 0.976
La1 0.013 0.973 0.595
La2 0.457 0.473 0.710
Sr2 0.164 0.473 0.295

***

[8]
The following is a PBE calculation of crystalline Tl2Cd2Hg at its relaxed geometry, from Alexandria via LeMat-Bulk.

## Properties
As for the crystal system: tetragonal. The formation energy is 0.0844 eV/atom. The excess energy over the best structure of this formula in the dataset is 44 meV per atom. Its symmetry is I4/mmm. The total energy is -1.2885 eV per atom.

a = 4.195 Å, b = 4.195 Å, c = 8.895 Å
α = 76.36°, β = 76.36°, γ = 90.00°
Fractional positions:
Tl1 0.402 0.402 0.197
Cd1 0.250 0.750 0.500
Tl2 0.598 0.598 0.803
Cd2 0.750 0.250 0.500
Hg1 0.000 0.000 0.000

***

[9]
The following is a PBE calculation of crystalline NaAg5 at its relaxed geometry, from Alexandria via LeMat-Bulk.

## Properties
As for the crystal system: orthorhombic. The formation energy is 0.0345 eV/atom. The excess energy over the best structure of this formula in the dataset is 20 meV per atom. Its symmetry is Cmmm. The total energy is -2.5614 eV per atom.

a = 3.169 Å, b = 4.835 Å, c = 7.828 Å
α = 107.99°, β = 90.00°, γ = 90.00°
Fractional positions:
Ag1 0.500 0.819 0.638
Ag2 0.000 0.343 0.685
Na1 0.000 0.000 0.000
Ag3 0.000 0.657 0.315
Ag4 0.500 0.500 0.000
Ag5 0.500 0.181 0.362

***

[10]
The following is a PBE calculation of crystalline KLiCrHg2 at its relaxed geometry, from Alexandria via LeMat-Bulk.

## Properties
As for the crystal system: tetragonal. The formation energy is 0.3263 eV/atom. Its symmetry is P4/mmm. The total energy is -2.3213 eV per atom.

a = 5.194 Å, b = 5.069 Å, c = 5.194 Å
α = 90.00°, β = 90.00°, γ = 90.00°
Fractional positions:
K1 0.500 0.500 0.500
Li1 0.000 0.000 0.000
Hg1 0.000 0.000 0.500
Cr1 0.000 0.500 0.000
Hg2 0.500 0.000 0.000